Below is a geometry-optimized CaPm6Dy3Y2 structure, with properties calculated at the PBE level.

Unit cell a=6.2934 b=10.8947 c=11.9234 alpha=90.00 beta=100.05 gamma=90.00
Space group C2/m (No. 12)
Inequivalent atoms, fractional coordinates:
Ca 0.0000 0.0000 0.0000 [2 per cell]
Pm 0.2453 0.3302 0.7464 [8 per cell]
Pm 0.2456 0.5000 0.2544 [4 per cell]
Dy 0.0000 0.1664 0.5000 [4 per cell]
Dy 0.0000 0.5000 0.5000 [2 per cell]
Y 0.0000 0.3334 0.0000 [4 per cell]

## Properties
* crystal system: monoclinic
* E_tot: -4.74 eV per atom
* DFT formation energy: 0.40 eV/f.u.
* total moment: 0.000 μB/f.u.